[1]
Here is crystalline MnReNi at its relaxed geometry from Alexandria. Energies are from PBE.

Cell lengths 4.1413, 4.1413, 2.5382 Å; angles 90.00, 90.00, 120.00 degrees
Site moments in Bohr magnetons follow the coordinates.
Fractional positions:
1 Mn 0.0000 0.0000 0.1664  2.13
2 Ni 0.6667 0.3333 0.1667  0.26
3 Re 0.3333 0.6667 0.6669  -0.28

Formation energy from the elements = 12 kJ/mol of formula units
Offset from the most stable computed form = 37 meV per atom

=====

[2]
Here is crystalline MnRe2Ni2 at its relaxed geometry from Alexandria. Energies are from PBE.

Cell lengths 6.1861, 6.1861, 3.3297 Å; angles 90.00, 90.00, 90.00 degrees
Fractional positions:
1 Re 0.1696 0.6696 0.5000
2 Re 0.6696 0.8304 0.5000
3 Re 0.8304 0.3304 0.5000
4 Re 0.3304 0.1696 0.5000
5 Mn 0.0000 0.0000 0.0000
6 Mn 0.5000 0.5000 0.0000
7 Ni 0.3685 0.8685 0.0000
8 Ni 0.8685 0.6315 0.0000
9 Ni 0.6315 0.1315 0.0000
10 Ni 0.1315 0.3685 0.0000

Formation energy from the elements = 174 kJ/mol of formula units

=====

[3]
Here is crystalline MnReNi3 at its relaxed geometry from Alexandria. Energies are from PBE.

Cell lengths 4.1445, 4.1445, 4.1445 Å; angles 90.00, 90.00, 90.00 degrees
Site moments in Bohr magnetons follow the coordinates.
Fractional positions:
1 Re 0.5000 0.5000 0.5000  1.45
2 Mn 0.0000 0.0000 0.0000  1.20
3 Ni 0.0000 0.5000 0.0000  0.20
4 Ni 0.0000 0.0000 0.5000  0.14
5 Ni 0.5000 0.0000 0.0000  0.25

Formation energy from the elements = 723 kJ/mol of formula units
Offset from the most stable computed form = 1433 meV per atom

=====

[4]
Here is crystalline TiMnReNi at its relaxed geometry from Alexandria. Energies are from PBE.

Cell lengths 4.2397, 4.2397, 4.2397 Å; angles 60.00, 60.00, 60.00 degrees
Site moments in Bohr magnetons follow the coordinates.
Fractional positions:
1 Re 0.0000 0.0000 0.0000  -0.27
2 Mn 0.7500 0.7500 0.7500  2.32
3 Ti 0.2500 0.2500 0.2500  0.13
4 Ni 0.5000 0.5000 0.5000  0.19

Formation energy from the elements = -41 kJ/mol of formula units

=====

[5]
Here is crystalline Mn2ReNiW at its relaxed geometry from Alexandria. Energies are from PBE.

Cell lengths 4.3430, 4.3430, 4.4170 Å; angles 90.00, 90.00, 90.00 degrees
Site moments in Bohr magnetons follow the coordinates.
Fractional positions:
1 Re 0.5000 0.5000 0.5000  -1.71
2 Mn 0.0000 0.5000 0.0000  -0.09
3 Mn 0.5000 0.0000 0.0000  -0.09
4 W 0.0000 0.0000 0.0000  0.03
5 Ni 0.0000 0.0000 0.5000  -0.03

Formation energy from the elements = 989 kJ/mol of formula units

=====

[6]
Here is crystalline MnNiRh3 at its relaxed geometry from Alexandria. Energies are from PBE.

Cell lengths 4.4067, 4.4067, 4.4067 Å; angles 90.00, 90.00, 90.00 degrees
Site moments in Bohr magnetons follow the coordinates.
Fractional positions:
1 Ni 0.0000 0.0000 0.0000  0.03
2 Mn 0.5000 0.5000 0.5000  -0.39
3 Rh 0.0000 0.5000 0.0000  -0.13
4 Rh 0.0000 0.0000 0.5000  -0.05
5 Rh 0.5000 0.0000 0.0000  0.00

Formation energy from the elements = 740 kJ/mol of formula units
Offset from the most stable computed form = 1605 meV per atom

=====

[7]
Here is crystalline MnNi2Rh5 at its relaxed geometry from Alexandria. Energies are from PBE.

Cell lengths 3.7977, 3.7977, 7.8551 Å; angles 103.99, 103.99, 90.00 degrees
Site moments in Bohr magnetons follow the coordinates.
Fractional positions:
1 Mn 0.0000 0.0000 0.0000  3.11
2 Ni 0.2497 0.2497 0.4994  -0.39
3 Ni 0.7503 0.7503 0.5006  -0.39
4 Rh 0.5000 0.5000 0.0000  -0.02
5 Rh 0.6291 0.1291 0.2581  -0.23
6 Rh 0.1291 0.6291 0.2581  -0.23
7 Rh 0.3709 0.8709 0.7419  -0.23
8 Rh 0.8709 0.3709 0.7419  -0.23

Formation energy from the elements = -31 kJ/mol of formula units

=====

[8]
Here is crystalline MnNi4Rh at its relaxed geometry from Alexandria. Energies are from PBE.

Cell lengths 4.6926, 4.6926, 4.6926 Å; angles 60.00, 60.00, 60.00 degrees
Site moments in Bohr magnetons follow the coordinates.
Fractional positions:
1 Mn 0.0000 0.0000 0.0000  3.65
2 Ni 0.8748 0.3751 0.3751  0.69
3 Ni 0.3751 0.3751 0.8748  0.69
4 Ni 0.3751 0.8748 0.3751  0.69
5 Ni 0.3751 0.3751 0.3751  0.69
6 Rh 0.7500 0.7500 0.7500  0.67

Formation energy from the elements = 12 kJ/mol of formula units
Offset from the most stable computed form = 49 meV per atom

=====

[9]
Here is crystalline MnNi7Rh2 at its relaxed geometry from Alexandria. Energies are from PBE.

Cell lengths 3.8218, 6.9920, 6.9927 Å; angles 53.78, 90.00, 90.01 degrees
Site moments in Bohr magnetons follow the coordinates.
Fractional positions:
1 Mn 0.0000 0.0000 0.0000  3.40
2 Ni 0.0001 0.1894 0.1893  0.80
3 Ni 0.9999 0.8106 0.8107  0.80
4 Ni 0.5000 0.9142 0.2827  0.67
5 Ni 0.5000 0.0858 0.7173  0.67
6 Ni 0.4999 0.7173 0.0858  0.67
7 Ni 0.5001 0.2827 0.9142  0.67
8 Ni 0.5000 0.5000 0.5000  0.87
9 Rh 0.5001 0.2961 0.2962  0.70
10 Rh 0.4999 0.7039 0.7038  0.70

Formation energy from the elements = 549 kJ/mol of formula units

=====

[10]
Here is crystalline MnNiRh2 at its relaxed geometry from Alexandria. Energies are from PBE.

Cell lengths 2.8216, 4.4677, 4.3263 Å; angles 90.00, 90.00, 90.00 degrees
Site moments in Bohr magnetons follow the coordinates.
Fractional positions:
1 Mn 0.5000 0.0000 0.5000  3.61
2 Ni 0.0000 0.5000 0.5000  0.50
3 Rh 0.0000 0.0000 0.0000  0.25
4 Rh 0.5000 0.5000 0.0000  0.20

Formation energy from the elements = 27 kJ/mol of formula units

=====

[11]
Here is crystalline MnNi6Rh at its relaxed geometry from Alexandria. Energies are from PBE.

Cell lengths 6.2381, 6.2381, 10.2064 Å; angles 90.00, 90.00, 109.55 degrees
Site moments in Bohr magnetons follow the coordinates.
Fractional positions:
1 Mn 0.2506 0.7494 0.7501  3.39
2 Mn 0.7494 0.2506 0.7501  3.39
3 Mn 0.5000 0.5000 0.5027  3.41
4 Mn 0.5000 0.5000 0.9974  3.41
5 Ni 0.2504 0.7496 0.5011  0.74
6 Ni 0.8746 0.6236 0.6263  0.69
7 Ni 0.1254 0.3764 0.6263  0.69
8 Ni 0.7496 0.2504 0.5011  0.74
9 Ni 0.3764 0.1254 0.6263  0.69
10 Ni 0.6236 0.8746 0.6263  0.69
11 Ni 0.5000 0.5000 0.2500  0.75
12 Ni 0.1271 0.3763 0.3772  0.76
13 Ni 0.3763 0.1271 0.3772  0.76
14 Ni 0.2504 0.7496 0.9990  0.74
15 Ni 0.8729 0.6237 0.1230  0.76
16 Ni 0.1271 0.3763 0.1230  0.76
17 Ni 0.7496 0.2504 0.9990  0.74
18 Ni 0.3763 0.1271 0.1230  0.76
19 Ni 0.6237 0.8729 0.1230  0.76
20 Ni 0.5000 0.5000 0.7501  0.63
21 Ni 0.1254 0.3764 0.8738  0.69
22 Ni 0.3764 0.1254 0.8738  0.69
23 Ni 0.0000 0.0000 0.2501  0.79
24 Ni 0.6237 0.8729 0.3772  0.76
25 Ni 0.8729 0.6237 0.3772  0.76
26 Ni 0.0000 0.0000 0.7501  0.72
27 Ni 0.6236 0.8746 0.8738  0.69
28 Ni 0.8746 0.6236 0.8738  0.69
29 Rh 0.2514 0.7486 0.2501  0.79
30 Rh 0.7486 0.2514 0.2501  0.79
31 Rh 0.0000 0.0000 0.5010  0.84
32 Rh 0.0000 0.0000 0.9992  0.84

Formation energy from the elements = -22 kJ/mol of formula units
Offset from the most stable computed form = 0 meV per atom

=====

[12]
Here is crystalline MnNiRh2 at its relaxed geometry from Alexandria. Energies are from PBE.

Cell lengths 4.5124, 4.5124, 4.6304 Å; angles 79.62, 79.62, 35.08 degrees
Site moments in Bohr magnetons follow the coordinates.
Fractional positions:
1 Mn 0.7500 0.7500 0.7500  3.25
2 Ni 0.2500 0.2500 0.2500  -0.03
3 Rh 0.0004 0.0004 0.0031  -0.01
4 Rh 0.4996 0.4996 0.4969  -0.01

Formation energy from the elements = -12 kJ/mol of formula units

=====

[13]
Here is crystalline MnNi2Rh at its relaxed geometry from Alexandria. Energies are from PBE.

Cell lengths 2.6134, 2.6134, 7.0337 Å; angles 90.00, 90.00, 90.00 degrees
Site moments in Bohr magnetons follow the coordinates.
Fractional positions:
1 Mn 0.5000 0.5000 0.7590  2.04
2 Ni 0.0000 0.0000 0.9998  0.38
3 Ni 0.5000 0.5000 0.2383  -0.11
4 Rh 0.0000 0.0000 0.5030  -0.28

Formation energy from the elements = 12 kJ/mol of formula units